No. 1
Entry from the Alexandria database: crystalline Ho2ScCd2 at its relaxed geometry (PBE-GGA).

Cell: 3.6249 5.1787 13.6327 Å, 90.00 97.65 90.00°
Fractional positions:
Ho  0.0443  0.7500  0.0882
Ho  0.9557  0.2500  0.9118
Ho  0.2359  0.7500  0.4725
Ho  0.7641  0.2500  0.5275
Sc  0.8481  0.7500  0.6966
Sc  0.1519  0.2500  0.3034
Cd  0.6405  0.7500  0.2810
Cd  0.3595  0.2500  0.7190
Cd  0.4417  0.7500  0.8835
Cd  0.5583  0.2500  0.1165

Calculated values
Crystal system   monoclinic
Formation enthalpy at 0 K   -0.23 eV per atom
D(E_F)   0.83 states/eV/atom
Magnetization   0.0 μB per formula unit
Relative energy among the computed polymorphs   0.000 eV per atom

***

No. 2
Entry from the Alexandria database: crystalline HoSc3Cd2 at its relaxed geometry (PBE-GGA).

Cell: 3.4834 3.4834 11.9246 Å, 90.00 90.00 90.00°
Fractional positions:
Ho  0.5000  0.5000  0.5000
Sc  0.0000  0.0000  0.0000
Sc  0.0000  0.0000  0.6941
Sc  0.0000  0.0000  0.3059
Cd  0.5000  0.5000  0.8475
Cd  0.5000  0.5000  0.1525

Calculated values
Crystal system   tetragonal
Formation enthalpy at 0 K   -0.17 eV per atom
D(E_F)   1.34 states/eV/atom
Magnetization   0.0 μB per formula unit

***

No. 3
Entry from the Alexandria database: crystalline Ho2ScCd2 at its relaxed geometry (PBE-GGA).

Cell: 3.8692 6.3496 6.3496 Å, 67.30 72.26 72.26°
Fractional positions:
Ho  0.2221  0.2779  0.2779
Ho  0.7779  0.7221  0.7221
Sc  0.0000  0.0000  0.0000
Cd  0.5000  0.2987  0.7013
Cd  0.5000  0.7013  0.2987

Calculated values
Crystal system   orthorhombic
Formation enthalpy at 0 K   -0.10 eV per atom
D(E_F)   1.19 states/eV/atom
Magnetization   0.0 μB per formula unit
Relative energy among the computed polymorphs   0.125 eV per atom

***

No. 4
Entry from the Alexandria database: crystalline Ho3Sc2Cd at its relaxed geometry (PBE-GGA).

Cell: 3.4970 3.4970 13.3303 Å, 90.00 90.00 90.00°
Fractional positions:
Ho  0.0000  0.0000  0.0000
Ho  0.0000  0.0000  0.6584
Ho  0.0000  0.0000  0.3416
Sc  0.5000  0.5000  0.8301
Sc  0.5000  0.5000  0.1699
Cd  0.5000  0.5000  0.5000

Calculated values
Crystal system   tetragonal
Formation enthalpy at 0 K   -0.07 eV per atom
D(E_F)   1.65 states/eV/atom
Magnetization   0.0 μB per formula unit

***

No. 5
Entry from the Alexandria database: crystalline Ho2ScCd6 at its relaxed geometry (PBE-GGA).

Cell: 3.3470 8.5493 8.5493 Å, 120.00 90.00 90.00°
Fractional positions:
Ho  0.0000  0.3333  0.6667
Ho  0.0000  0.6667  0.3333
Sc  0.0000  0.0000  0.0000
Cd  0.5000  0.3301  0.3301
Cd  0.5000  0.6699  0.6699
Cd  0.5000  0.0000  0.6699
Cd  0.5000  0.6699  0.0000
Cd  0.5000  0.3301  0.0000
Cd  0.5000  0.0000  0.3301

Calculated values
Crystal system   hexagonal
Formation enthalpy at 0 K   -0.28 eV per atom
D(E_F)   0.83 states/eV/atom
Magnetization   0.0 μB per formula unit

***

No. 6
Entry from the Alexandria database: crystalline Ho6Sc3Cd at its relaxed geometry (PBE-GGA).

Cell: 6.0679 10.4101 10.4101 Å, 119.96 90.00 90.00°
Fractional positions:
Ho  0.0464  0.7159  0.6177
Ho  0.5464  0.6177  0.7159
Ho  0.3271  0.5043  0.9355
Ho  0.8271  0.9355  0.5043
Ho  0.4045  0.9524  0.0476
Ho  0.6829  0.2683  0.7317
Ho  0.1829  0.7317  0.2683
Ho  0.9045  0.0476  0.9524
Ho  0.3271  0.0645  0.4957
Ho  0.8271  0.4957  0.0645
Ho  0.0464  0.3823  0.2841
Ho  0.5464  0.2841  0.3823
Sc  0.4718  0.9457  0.7268
Sc  0.9718  0.7268  0.9457
Sc  0.0690  0.3918  0.6082
Sc  0.5690  0.6082  0.3918
Sc  0.9718  0.0543  0.2732
Sc  0.4718  0.2732  0.0543
Cd  0.1385  0.1962  0.8038
Cd  0.6385  0.8038  0.1962

Calculated values
Crystal system   orthorhombic
Formation enthalpy at 0 K   0.08 eV per atom
D(E_F)   1.38 states/eV/atom
Magnetization   0.0 μB per formula unit

***

No. 7
Entry from the Alexandria database: crystalline HoScCd14 at its relaxed geometry (PBE-GGA).

Cell: 6.5219 6.5219 8.4758 Å, 90.00 90.00 89.99°
Fractional positions:
Ho  0.8750  0.8750  0.5000
Sc  0.3750  0.3750  0.5000
Cd  0.8750  0.8750  0.0000
Cd  0.3750  0.3750  0.0000
Cd  0.8750  0.3750  0.5000
Cd  0.8750  0.3750  0.0000
Cd  0.3750  0.8750  0.5000
Cd  0.3750  0.8750  0.0000
Cd  0.6211  0.1289  0.2467
Cd  0.6211  0.1289  0.7533
Cd  0.1289  0.6211  0.2467
Cd  0.1289  0.6211  0.7533
Cd  0.6211  0.6211  0.2468
Cd  0.6211  0.6211  0.7532
Cd  0.1289  0.1289  0.2468
Cd  0.1289  0.1289  0.7532

Calculated values
Crystal system   tetragonal
Formation enthalpy at 0 K   -0.12 eV per atom
D(E_F)   0.35 states/eV/atom
Magnetization   0.0 μB per formula unit

***

No. 8
Entry from the Alexandria database: crystalline Ho2Sc3Cd3 at its relaxed geometry (PBE-GGA).

Cell: 3.6183 5.0752 11.0614 Å, 103.26 99.41 90.00°
Fractional positions:
Ho  0.2664  0.7664  0.5329
Ho  0.7336  0.2336  0.4671
Sc  0.3775  0.3775  0.7549
Sc  0.6225  0.6225  0.2451
Sc  0.5000  0.0000  0.0000
Cd  0.8872  0.8872  0.7743
Cd  0.0000  0.5000  0.0000
Cd  0.1128  0.1128  0.2257

Calculated values
Crystal system   orthorhombic
Formation enthalpy at 0 K   -0.19 eV per atom
D(E_F)   0.97 states/eV/atom
Magnetization   0.0 μB per formula unit

***

No. 9
Entry from the Alexandria database: crystalline HoSc2Cd8 at its relaxed geometry (PBE-GGA).

Cell: 5.2627 6.1506 8.7403 Å, 110.10 106.95 91.54°
Fractional positions:
Ho  0.5000  0.0000  0.0000
Sc  0.6866  0.6866  0.3733
Sc  0.3134  0.3134  0.6267
Cd  0.1229  0.3688  0.2686
Cd  0.8544  0.1002  0.7314
Cd  0.7475  0.5158  0.0000
Cd  0.7011  0.2011  0.4021
Cd  0.2989  0.7989  0.5979
Cd  0.2525  0.4842  0.0000
Cd  0.1456  0.8998  0.2686
Cd  0.8771  0.6312  0.7314

Calculated values
Crystal system   monoclinic
Formation enthalpy at 0 K   -0.18 eV per atom
D(E_F)   0.56 states/eV/atom
Magnetization   0.0 μB per formula unit

***

No. 10
Entry from the Alexandria database: crystalline Ho6Sc12Cd at its relaxed geometry (PBE-GGA).

Cell: 8.0048 8.0048 8.0048 Å, 93.51 93.51 93.51°
Fractional positions:
Ho  0.7143  0.8827  0.2643
Ho  0.7357  0.2857  0.1173
Ho  0.1173  0.7357  0.2857
Ho  0.2857  0.1173  0.7357
Ho  0.2643  0.7143  0.8827
Ho  0.8827  0.2643  0.7143
Sc  0.7855  0.5355  0.4683
Sc  0.4683  0.7855  0.5355
Sc  0.5355  0.4683  0.7855
Sc  0.2145  0.4645  0.5317
Sc  0.5317  0.2145  0.4645
Sc  0.4645  0.5317  0.2145
Sc  0.0556  0.1401  0.3662
Sc  0.8599  0.6338  0.9444
Sc  0.6338  0.9444  0.8599
Sc  0.9444  0.8599  0.6338
Sc  0.1401  0.3662  0.0556
Sc  0.3662  0.0556  0.1401
Cd  0.0000  0.0000  0.0000

Calculated values
Crystal system   trigonal
Formation enthalpy at 0 K   0.12 eV per atom
D(E_F)   1.89 states/eV/atom
Magnetization   0.0 μB per formula unit

***

No. 11
Entry from the Alexandria database: crystalline HoSc5Cd3 at its relaxed geometry (PBE-GGA).

Cell: 6.5258 8.7012 8.7007 Å, 120.00 90.00 90.00°
Fractional positions:
Ho  0.0000  0.0000  0.0000
Ho  0.5000  0.0000  0.0000
Sc  0.0000  0.6667  0.3333
Sc  0.5000  0.3333  0.6667
Sc  0.0000  0.3333  0.6667
Sc  0.5000  0.6667  0.3333
Sc  0.7500  0.6607  0.6607
Sc  0.7500  0.0000  0.3393
Sc  0.7500  0.3393  0.0000
Sc  0.2500  0.3393  0.3393
Sc  0.2500  0.0000  0.6607
Sc  0.2500  0.6607  0.0000
Cd  0.7500  0.3332  0.3332
Cd  0.7500  0.0000  0.6668
Cd  0.7500  0.6668  0.0000
Cd  0.2500  0.6668  0.6668
Cd  0.2500  0.0000  0.3332
Cd  0.2500  0.3332  0.0000

Calculated values
Crystal system   hexagonal
Formation enthalpy at 0 K   -0.18 eV per atom
D(E_F)   0.76 states/eV/atom
Magnetization   0.0 μB per formula unit

***

No. 12
Entry from the Alexandria database: crystalline Ho2Sc2Cd at its relaxed geometry (PBE-GGA).

Cell: 5.8348 6.3618 7.8403 Å, 76.26 111.85 90.00°
Fractional positions:
Ho  0.4892  0.9607  0.7939
Ho  0.3047  0.4607  0.7939
Ho  0.5108  0.0393  0.2061
Ho  0.6953  0.5393  0.2061
Sc  0.2824  0.3570  0.3933
Sc  0.8891  0.1430  0.6067
Sc  0.7176  0.6430  0.6067
Sc  0.1109  0.8570  0.3933
Cd  0.9182  0.2500  0.0000
Cd  0.0818  0.7500  0.0000

Calculated values
Crystal system   monoclinic
Formation enthalpy at 0 K   -0.06 eV per atom
D(E_F)   1.36 states/eV/atom
Magnetization   0.0 μB per formula unit
Relative energy among the computed polymorphs   0.000 eV per atom

***

No. 13
Entry from the Alexandria database: crystalline HoScCd2 at its relaxed geometry (PBE-GGA).

Cell: 3.6080 3.6080 7.3632 Å, 90.00 90.00 90.00°
Fractional positions:
Sc  0.5000  0.5000  0.0000
Ho  0.5000  0.5000  0.5000
Cd  0.0000  0.0000  0.7697
Cd  0.0000  0.0000  0.2303

Calculated values
Crystal system   tetragonal
Formation enthalpy at 0 K   -0.30 eV per atom
D(E_F)   0.92 states/eV/atom
Magnetization   0.0 μB per formula unit
Relative energy among the computed polymorphs   0.000 eV per atom

***

No. 14
Entry from the Alexandria database: crystalline HoScCd2 at its relaxed geometry (PBE-GGA).

Cell: 5.1415 5.1415 5.1415 Å, 60.00 60.00 60.00°
Fractional positions:
Sc  0.5000  0.5000  0.5000
Ho  0.0000  0.0000  0.0000
Cd  0.2500  0.2500  0.2500
Cd  0.7500  0.7500  0.7500

Calculated values
Crystal system   cubic
Formation enthalpy at 0 K   -0.30 eV per atom
D(E_F)   0.91 states/eV/atom
Magnetization   0.0 μB per formula unit
Relative energy among the computed polymorphs   0.001 eV per atom

***

No. 15
Entry from the Alexandria database: crystalline Ho5Sc4Cd at its relaxed geometry (PBE-GGA).

Cell: 3.4643 3.4643 22.7813 Å, 90.00 90.00 90.00°
Fractional positions:
Ho  0.5000  0.5000  0.0941
Ho  0.5000  0.5000  0.2972
Ho  0.5000  0.5000  0.5000
Ho  0.5000  0.5000  0.7028
Ho  0.5000  0.5000  0.9059
Sc  0.0000  0.0000  0.1958
Sc  0.0000  0.0000  0.3984
Sc  0.0000  0.0000  0.6016
Sc  0.0000  0.0000  0.8042
Cd  0.0000  0.0000  0.0000

Calculated values
Crystal system   tetragonal
Formation enthalpy at 0 K   -0.02 eV per atom
D(E_F)   1.59 states/eV/atom
Magnetization   0.0 μB per formula unit

***

No. 16
Entry from the Alexandria database: crystalline Ho3Sc2Cd3 at its relaxed geometry (PBE-GGA).

Cell: 3.6390 5.2286 11.2456 Å, 103.44 99.31 90.00°
Fractional positions:
Ho  0.6266  0.6266  0.2533
Ho  0.3734  0.3734  0.7467
Ho  0.5000  0.0000  0.0000
Sc  0.7362  0.2362  0.4723
Sc  0.2638  0.7638  0.5277
Cd  0.1236  0.1236  0.2472
Cd  0.0000  0.5000  0.0000
Cd  0.8764  0.8764  0.7528

Calculated values
Crystal system   orthorhombic
Formation enthalpy at 0 K   -0.22 eV per atom
D(E_F)   1.42 states/eV/atom
Magnetization   0.0 μB per formula unit

***

No. 17
Entry from the Alexandria database: crystalline HoSc2Cd at its relaxed geometry (PBE-GGA).

Cell: 4.6518 4.6081 4.6081 Å, 90.00 90.00 90.00°
Each line ends with the local moment (μB).
Fractional positions:
Sc  0.0000  0.0000  0.5000  0.18
Sc  0.0000  0.5000  0.0000  0.18
Ho  0.5000  0.0000  0.0000  0.14
Cd  0.5000  0.5000  0.5000  0.00

Calculated values
Crystal system   tetragonal
Formation enthalpy at 0 K   -0.09 eV per atom
D(E_F)   1.35 states/eV/atom
Magnetization   0.7 μB per formula unit
Relative energy among the computed polymorphs   0.034 eV per atom

***

No. 18
Entry from the Alexandria database: crystalline HoSc2Cd at its relaxed geometry (PBE-GGA).

Cell: 5.1827 5.1827 5.1827 Å, 60.00 60.00 60.00°
Each line ends with the local moment (μB).
Fractional positions:
Sc  0.2500  0.2500  0.2500  0.18
Sc  0.7500  0.7500  0.7500  0.18
Ho  0.0000  0.0000  0.0000  0.24
Cd  0.5000  0.5000  0.5000  0.00

Calculated values
Crystal system   cubic
Formation enthalpy at 0 K   0.01 eV per atom
D(E_F)   1.61 states/eV/atom
Magnetization   0.9 μB per formula unit
Relative energy among the computed polymorphs   0.142 eV per atom

***

No. 19
Entry from the Alexandria database: crystalline Ho4ScCd5 at its relaxed geometry (PBE-GGA).

Cell: 3.6832 3.6832 18.5314 Å, 90.00 90.00 90.00°
Fractional positions:
Ho  0.0000  0.0000  0.1941
Ho  0.0000  0.0000  0.3979
Ho  0.0000  0.0000  0.6021
Ho  0.0000  0.0000  0.8059
Sc  0.0000  0.0000  0.0000
Cd  0.5000  0.5000  0.0899
Cd  0.5000  0.5000  0.2960
Cd  0.5000  0.5000  0.5000
Cd  0.5000  0.5000  0.7040
Cd  0.5000  0.5000  0.9101

Calculated values
Crystal system   tetragonal
Formation enthalpy at 0 K   -0.31 eV per atom
D(E_F)   1.05 states/eV/atom
Magnetization   0.0 μB per formula unit

***

No. 20
Entry from the Alexandria database: crystalline HoSc2Cd at its relaxed geometry (PBE-GGA).

Cell: 3.3681 3.3681 10.5450 Å, 80.81 80.81 60.00°
Fractional positions:
Sc  0.2553  0.2553  0.2340
Sc  0.7447  0.7447  0.7660
Ho  0.5000  0.5000  0.5000
Cd  0.0000  0.0000  0.0000

Calculated values
Crystal system   trigonal
Formation enthalpy at 0 K   -0.04 eV per atom
D(E_F)   1.35 states/eV/atom
Magnetization   0.0 μB per formula unit
Relative energy among the computed polymorphs   0.094 eV per atom

***

No. 21
Entry from the Alexandria database: crystalline Ho7Sc2Cd2 at its relaxed geometry (PBE-GGA).

Cell: 8.3062 6.3476 6.3476 Å, 96.94 76.90 76.90°
Fractional positions:
Ho  0.1789  0.1224  0.4817
Ho  0.8211  0.5183  0.8776
Ho  0.8211  0.8776  0.5183
Ho  0.1789  0.4817  0.1224
Ho  0.0000  0.0000  0.0000
Ho  0.4202  0.8578  0.8578
Ho  0.5798  0.1422  0.1422
Sc  0.5000  0.3191  0.6809
Sc  0.5000  0.6809  0.3191
Cd  0.8165  0.3842  0.3842
Cd  0.1835  0.6158  0.6158

Calculated values
Crystal system   monoclinic
Formation enthalpy at 0 K   -0.04 eV per atom
D(E_F)   1.28 states/eV/atom
Magnetization   0.0 μB per formula unit

***

No. 22
Entry from the Alexandria database: crystalline HoSc8Cd2 at its relaxed geometry (PBE-GGA).

Cell: 5.2409 8.2230 8.2179 Å, 59.98 77.51 64.38°
Fractional positions:
Ho  0.5000  0.0000  0.0000
Sc  0.8714  0.0965  0.2246
Sc  0.8714  0.3212  0.7754
Sc  0.2947  0.4144  0.0000
Sc  0.5000  0.7816  0.4367
Sc  0.5000  0.2184  0.5633
Sc  0.7053  0.5856  0.0000
Sc  0.1286  0.6788  0.2246
Sc  0.1286  0.9035  0.7754
Cd  0.0000  0.3067  0.3866
Cd  0.0000  0.6933  0.6134

Calculated values
Crystal system   monoclinic
Formation enthalpy at 0 K   0.07 eV per atom
D(E_F)   1.65 states/eV/atom
Magnetization   0.0 μB per formula unit

***

No. 23
Entry from the Alexandria database: crystalline Ho2ScCd3 at its relaxed geometry (PBE-GGA).

Cell: 5.1812 5.1812 6.3678 Å, 90.00 90.00 120.00°
Fractional positions:
Ho  0.6667  0.3333  0.3250
Ho  0.3333  0.6667  0.6750
Sc  0.0000  0.0000  0.0000
Cd  0.0000  0.0000  0.5000
Cd  0.6667  0.3333  0.8346
Cd  0.3333  0.6667  0.1654

Calculated values
Crystal system   trigonal
Formation enthalpy at 0 K   -0.30 eV per atom
D(E_F)   0.98 states/eV/atom
Magnetization   0.0 μB per formula unit
Relative energy among the computed polymorphs   0.003 eV per atom

***

| no. | raw total energy (eV/atom) |
| --- | --- |
| 1 | -3.69 |
| 2 | -4.40 |
| 3 | -3.56 |
| 4 | -4.62 |
| 5 | -2.61 |
| 6 | -4.66 |
| 7 | -1.60 |
| 8 | -4.05 |
| 9 | -2.41 |
| 10 | -5.37 |
| 11 | -4.51 |
| 12 | -4.60 |
| 13 | -3.49 |
| 14 | -3.48 |
| 15 | -4.93 |
| 16 | -3.86 |
| 17 | -4.63 |
| 18 | -4.53 |
| 19 | -3.23 |
| 20 | -4.57 |
| 21 | -4.27 |
| 22 | -5.12 |
| 23 | -3.34 |